Here is a crystal of Zr2ScSb relaxed with PBEsol from Alexandria via LeMat-Bulk. Energies are from meta-GGA SCAN.

Fermi-level density of states, states/eV/cell: 4.48
ΔE_f (raw), eV/atom: -0.4396

Cell lengths 5.585, 5.585, 5.585 Å; angles 134.90, 134.90, 65.69 degrees
Fractional positions:
Zr (0.000, 0.000, 0.000)
Zr (0.750, 0.250, 0.500)
Sc (0.500, 0.500, 0.000)
Sb (0.250, 0.750, 0.500)